Nd6YEr3Tm2 PBE optimized geometry; VASP energy = -57.54 eV per cell; ΔE_f = 0.013 eV/atom; size of the total moment = 0.00 μB/atom
1.0
-2.5693 -5.2422 -2.2292
4.4374 2.9401 -3.2735
7.5081 -5.5087 7.2139
Nd Er Tm Y
6 3 2 1
direct
0.9162 0.5817 0.7497 Nd
0.7494 0.7494 0.2503 Nd
0.5817 0.9162 0.7497 Nd
0.2506 0.2506 0.7497 Nd
0.4183 0.0838 0.2503 Nd
0.0838 0.4183 0.2503 Nd
0.5000 0.5000 0.5000 Er
0.1667 0.8333 0.5000 Er
0.8333 0.1667 0.5000 Er
0.3334 0.6666 0.0000 Tm
0.6666 0.3334 0.0000 Tm
0.0000 0.0000 0.0000 Y